(1)
DFT (PBE-GGA) results for LiIrPt2 after structural relaxation.

Structure (POSCAR):
```
LiIrPt2
1.0
2.722 0.004 0.000
-1.356 2.360 0.000
0.000 0.000 9.283
Ir Li Pt
1 1 2
Direct
0.500 0.500 0.250 Ir
0.500 0.500 0.750 Li
0.000 0.000 0.990 Pt
0.000 0.000 0.510 Pt
```

## Properties
Spin magnetization in μB/atom: 0.00
V in A^3/atom: 14.92
Excess energy over the best structure of this formula in the dataset in meV/atom: 291
Calculated formation energy in eV/atom: -0.078



(2)
DFT (PBE-GGA) results for LiIr2Pt after structural relaxation.

Structure (POSCAR):
```
LiIr2Pt
1.0
-2.407 -0.486 -2.733
-2.118 -2.016 2.225
-6.718 6.282 2.330
Ir Pt Li
4 2 2
Direct
0.615 0.125 0.250 Ir
0.135 0.625 0.250 Ir
0.375 0.385 0.750 Ir
0.875 0.865 0.750 Ir
0.000 0.000 0.000 Pt
0.750 0.250 0.500 Pt
0.500 0.500 0.000 Li
0.250 0.750 0.500 Li
```

## Properties
Spin magnetization in μB/atom: 0.00
V in A^3/atom: 15.40
Excess energy over the best structure of this formula in the dataset in meV/atom: 448
Calculated formation energy in eV/atom: 0.278